[1]
PBEsol TlHgPb, relaxed; energy above the most stable polymorph in this dataset = 1.15 kJ/mol of atoms; total moment = 0.00 μB/cell; density of states at the Fermi level = 1.351 states/eV/cell; raw total energy = -2.381 eV/atom
1.0
3.463 0.005 -0.090
0.011 4.726 -0.138
-1.865 -2.514 5.039
Hg Tl Pb
1 1 1
direct
0.000 0.998 0.000
0.344 0.342 0.670
0.656 0.660 0.330

---

[2]
PBEsol TlHg2Pb, relaxed; total moment = 0.00 μB/cell; density of states at the Fermi level = 1.651 states/eV/cell; raw total energy = -1.914 eV/atom
1.0
3.309 -0.090 0.000
-1.457 2.972 0.000
0.000 0.000 10.883
Hg Tl Pb
2 1 1
direct
0.000 0.000 0.990
0.500 0.500 0.760
0.500 0.500 0.238
0.000 0.000 0.511

---

[3]
PBEsol TlHg2Pb, relaxed; total moment = 0.00 μB/cell; density of states at the Fermi level = 1.891 states/eV/cell; raw total energy = -1.895 eV/atom
1.0
5.271 0.000 0.000
2.635 4.565 0.000
2.635 1.522 4.304
Tl Hg Pb
1 2 1
direct
0.250 0.250 0.250
0.750 0.750 0.750
0.000 0.000 0.000
0.500 0.500 0.500